LaNdTlNi: optimized geometry, GGA-PBE.

The density of states at the Fermi level is 4.4 states/eV/f.u. The crystal system is cubic. As for the uncorrected energy: -4.64 eV per atom. The formation energy is -177 meV per atom.

It has space group F-43m (No. 216), with a = 7.555 Å, b = 7.555 Å, c = 7.555 Å, α = 90.00°, β = 90.00° and γ = 90.00°. Symmetry generates all atoms from La at (0.000, 0.000, 0.000), Nd at (0.000, 0.000, 0.500), Tl at (0.250, 0.250, 0.750) and Ni at (0.250, 0.250, 0.250).

La2NdNpO8: optimized geometry, GGA-PBE.

The crystal system is monoclinic. As for the uncorrected energy: -8.76 eV per atom. As for the formation energy from raw total energies: -305.12 kJ per mole of atoms.

It has space group P2/m (No. 10), with a = 4.053 Å, b = 7.672 Å, c = 5.652 Å, α = 90.00°, β = 94.90° and γ = 90.00°. Symmetry generates all atoms from La at (0.000, 0.246, 0.000), Nd at (0.500, 0.000, 0.500), Np at (0.500, 0.500, 0.500), O at (0.001, 0.000, 0.753), O at (0.066, 0.500, 0.289) and O at (0.462, 0.285, 0.727).

LaNd2NpO8: optimized geometry, GGA-PBE.

The density of states at the Fermi level is 0.0 states/eV/f.u. The crystal system is monoclinic. As for the uncorrected energy: -8.73 eV per atom. As for the formation energy from raw total energies: -302.89 kJ per mole of atoms.

It has space group P2/m (No. 10), with a = 4.030 Å, b = 7.698 Å, c = 5.580 Å, α = 90.00°, β = 94.96° and γ = 90.00°. Symmetry generates all atoms from La at (0.000, 0.000, 0.000), Nd at (0.500, 0.246, 0.500), Np at (0.000, 0.500, 0.000), O at (0.037, 0.288, 0.767), O at (0.438, 0.500, 0.214) and O at (0.496, 0.000, 0.744).

LaNdO2: optimized geometry, GGA-PBE.

The density of states at the Fermi level is 0.5 states/eV/f.u. The crystal system is trigonal. As for the uncorrected energy: -7.57 eV per atom. As for the formation energy from raw total energies: -256.90 kJ per mole of atoms. As for the polymorph energy (0 for the lowest one): 134.9 meV per atom.

It has space group R3m (No. 160, hexagonal axes), with a = 3.5726 Å, b = 3.5726 Å, c = 18.4356 Å, α = 90.00°, β = 90.00° and γ = 120.00°. Symmetry generates all atoms from La at (0.0000, 0.0000, 0.0000), Nd at (0.0000, 0.0000, 0.1772), O at (0.0000, 0.0000, 0.5844) and O at (0.0000, 0.0000, 0.7577).